# GGA+U LiZn2Fe4O8, optimized geometry
data_LiZn2Fe4O8
_chemical_formula_sum 'Li2 Zn4 Fe8 O16'
_cell_length_a 10.438
_cell_length_b 5.929
_cell_length_c 6.263
_cell_angle_alpha 90.00
_cell_angle_beta 123.72
_cell_angle_gamma 90.00
_symmetry_space_group_name_H-M 'C 1 2/m 1'
_symmetry_Int_Tables_number 12
loop_
_symmetry_equiv_pos_as_xyz
'x,y,z'
'-x,-y,-z'
'-x,y,-z'
'x,-y,z'
'x+1/2,y+1/2,z'
'-x+1/2,-y+1/2,-z'
'-x+1/2,y+1/2,-z'
'x+1/2,-y+1/2,z'
loop_
_atom_site_label
_atom_site_type_symbol
_atom_site_fract_x
_atom_site_fract_y
_atom_site_fract_z
Li1 Li 0.000 0.000 0.000
Zn1 Zn 0.250 0.250 0.000
Fe1 Fe 0.000 0.500 0.000
Fe2 Fe 0.000 0.500 0.500
Fe3 Fe 0.150 0.000 0.436
O1 O 0.006 0.249 0.243
O2 O 0.231 0.500 0.199
O3 O 0.246 0.500 0.739
# V: 10.7 Å³ per atom
# VASP energy: -174.58 eV for the cell shown